Record 1
Computed, not measured: an optimized crystal structure of Y3ErSc at the PBE level of DFT.

```
20
Lattice="3.4930 0.0000 0.0000 0.0000 10.4656 0.0000 0.0000 0.0000 17.2488" Properties=species:S:1:pos:R:3 pbc="T T T"
Y 2.6215 9.8268 7.3028
Y 2.6175 0.0000 12.9366
Y 2.6175 5.2328 12.9366
Y 0.8715 5.8716 15.9272
Y 2.6215 5.8716 7.3028
Y 2.6215 0.6388 1.3216
Y 0.8715 9.8268 15.9272
Y 0.8755 5.2328 4.3122
Y 0.8715 4.5940 9.9460
Y 0.8755 0.0000 4.3122
Y 0.8715 0.6388 9.9460
Y 2.6215 4.5940 1.3216
Sc 0.8689 2.6164 12.5580
Sc 0.8689 7.8492 13.3151
Sc 2.6242 2.6164 3.9337
Sc 2.6242 7.8492 4.6907
Er 0.8779 2.6164 6.8423
Er 2.6152 2.6164 15.4667
Er 2.6152 7.8492 10.4065
Er 0.8779 7.8492 1.7821
```

## Properties
Its energy of formation from the pure elements is 0.1728 eV per atom. Its space group is Pbcm. The uncorrected energy is -5.8845 eV per atom. As for the crystal system: orthorhombic. For the volume, the calculation gives 31.53 Å³/atom.

Record 2
Computed, not measured: an optimized crystal structure of SbAsCl2 at the PBE level of DFT.

```
4
Lattice="3.4412 -1.1154 -3.4678 3.4531 -3.5092 0.9346 -0.1876 -4.3995 -2.3918" Properties=species:S:1:pos:R:3 pbc="T T T"
Sb 3.3534 -4.5120 -2.4625
As 0.0000 0.0000 0.0000
Cl 1.6767 -2.2560 -1.2312
Cl 5.0300 -6.7680 -3.6937
```

## Properties
The distance to the lowest polymorph of the same formula comes out at 800 meV/atom. Its space group is Fm-3m. The uncorrected energy is -2.7515 eV per atom. As for the crystal system: cubic. For the volume, the calculation gives 22.24 Å³/atom. For the formation energy (no corrections), the calculation gives 0.3648 eV/atom.

Record 3
Computed, not measured: an optimized crystal structure of ScTl2Hg at the PBE level of DFT.

```
4
Lattice="10.2622 -0.0166 -0.0098 9.6779 3.4134 -0.0098 9.6779 1.6486 2.9889" Properties=species:S:1:pos:R:3 pbc="T T T"
Tl 0.0829 0.0141 0.0083
Tl 14.7261 2.5086 1.4763
Hg 7.4045 1.2613 0.7423
Sc 22.2135 3.7840 2.2270
```

## Properties
Its energy of formation from the pure elements is 0.0060 eV per atom. Its space group is R-3m. The uncorrected energy is -2.8355 eV per atom. As for the crystal system: trigonal. For the volume, the calculation gives 26.38 Å³/atom.

Record 4
Computed, not measured: an optimized crystal structure of Th2Pd9Pb at the PBE level of DFT.

```
12
Lattice="4.2018 0.0000 0.0000 0.0000 4.2018 0.0000 0.0000 0.0000 12.4632" Properties=species:S:1:pos:R:3 pbc="T T T"
Pb 0.0000 0.0000 0.0000
Pd 2.1009 0.0000 2.0716
Pd 0.0000 2.1009 10.3917
Pd 2.1009 0.0000 6.2316
Pd 2.1009 2.1009 4.1365
Pd 0.0000 2.1009 6.2316
Pd 2.1009 0.0000 10.3917
Pd 2.1009 2.1009 0.0000
Pd 2.1009 2.1009 8.3267
Pd 0.0000 2.1009 2.0716
Th 0.0000 0.0000 8.3711
Th 0.0000 0.0000 4.0922
```

## Properties
Its energy of formation from the pure elements is -0.7340 eV per atom. Its space group is P4/mmm. The uncorrected energy is -6.1743 eV per atom. As for the crystal system: tetragonal. For the volume, the calculation gives 18.34 Å³/atom.

Record 5
Computed, not measured: an optimized crystal structure of GaGeTe at the PBE level of DFT.

```
12
Lattice="7.0962 -1.1343 0.0000 -3.6801 6.1548 0.0000 0.0000 0.0000 8.2530" Properties=species:S:1:pos:R:3 pbc="T T T"
Ga 3.7059 2.5621 7.1153
Ga 3.2584 1.8913 2.9888
Ga -0.2897 2.4584 1.1377
Ga 0.1577 3.1293 5.2642
Te 1.8668 0.6141 0.9006
Te 1.5493 4.4064 7.3524
Te -1.9988 4.9736 5.0271
Te 5.4149 0.0470 3.2259
Ge 2.2155 1.3915 5.3140
Ge 1.2006 3.6291 2.9389
Ge 5.7636 0.8243 7.0654
Ge -2.3475 4.1962 1.1875
```

## Properties
The distance to the lowest polymorph of the same formula comes out at 260 meV/atom. Its space group is P2_1/c. The uncorrected energy is -3.5697 eV per atom. As for the crystal system: monoclinic. For the volume, the calculation gives 27.17 Å³/atom. For the formation energy (no corrections), the calculation gives 0.0256 eV/atom.

Record 6
Computed, not measured: an optimized crystal structure of MgCd4In15 at the PBE level of DFT.

```
20
Lattice="4.7167 0.0000 0.0000 0.0000 4.7167 0.0000 0.0000 0.0000 23.3256" Properties=species:S:1:pos:R:3 pbc="T T T"
In 0.0000 2.3583 16.3806
In 2.3583 0.0000 11.6628
In 2.3583 0.0000 6.9450
In 2.3583 2.3583 4.6048
In 0.0000 2.3583 11.6628
In 2.3583 2.3583 9.3108
In 2.3583 2.3583 18.7208
In 0.0000 2.3583 6.9450
In 0.0000 2.3583 21.0500
In 0.0000 2.3583 2.2756
In 2.3583 0.0000 21.0500
In 2.3583 0.0000 2.2756
In 2.3583 2.3583 0.0000
In 2.3583 0.0000 16.3806
In 2.3583 2.3583 14.0148
Cd 0.0000 0.0000 14.0268
Cd 0.0000 0.0000 9.2988
Cd 0.0000 0.0000 4.5933
Cd 0.0000 0.0000 18.7323
Mg 0.0000 0.0000 0.0000
```

## Properties
Its energy of formation from the pure elements is 0.0078 eV per atom. Its space group is P4/mmm. The uncorrected energy is -2.3088 eV per atom. As for the crystal system: tetragonal. For the volume, the calculation gives 25.95 Å³/atom.

Record 7
Computed, not measured: an optimized crystal structure of LiHo4Hg2 at the PBE level of DFT.

```
7
Lattice="-4.1939 2.9541 0.2995 -3.0585 -0.2906 4.1190 2.2179 7.0753 5.3513" Properties=species:S:1:pos:R:3 pbc="T T T"
Hg 0.8943 5.3085 4.2438
Hg -5.9288 4.4303 5.5260
Li 0.0000 0.0000 0.0000
Ho -0.7515 3.1117 2.8668
Ho -4.2830 6.6272 6.9030
Ho -0.7649 7.2086 6.3512
Ho -4.2697 2.5303 3.4187
```

## Properties
Its energy of formation from the pure elements is -0.0730 eV per atom. Its space group is R-3m. The uncorrected energy is -3.0485 eV per atom. As for the crystal system: trigonal. For the volume, the calculation gives 28.26 Å³/atom.

Record 8
Computed, not measured: an optimized crystal structure of ZrGaCo2 at the PBE level of DFT.

```
8
Lattice="-2.8775 -4.3948 -4.0624 5.7115 -3.3632 -0.4072 0.6670 -5.4186 -0.0381" Properties=species:S:1:pos:R:3 pbc="T T T"
Zr -0.3968 -6.8462 -3.1677
Zr 0.0000 0.0000 0.0000
Ga 1.4170 -3.8790 -2.2348
Ga 3.8977 -6.3304 -1.3400
Co 3.3089 -4.1096 -0.8676
Co 2.8453 -10.7729 -3.9299
Co -0.8500 -4.4182 -2.5037
Co 1.6976 -7.0525 -1.7143
```

## Properties
Its energy of formation from the pure elements is 0.1438 eV per atom. Its space group is I-42d. The uncorrected energy is -6.3028 eV per atom. As for the crystal system: tetragonal. For the volume, the calculation gives 15.35 Å³/atom.

> Among the records above, which one has the highest uncorrected energy?

MgCd4In15